The following is a PBE calculation of crystalline CsIn2Sb2 at its relaxed geometry, from Alexandria.

a b c (Å): 5.007 5.007 15.558
angles (deg): 90.00 90.00 90.00
Sites, in units of the cell vectors:
1 Cs 0.000 0.000 0.000
2 Cs 0.500 0.500 0.500
3 In 0.000 0.500 0.250
4 In 0.000 0.500 0.750
5 In 0.500 0.000 0.250
6 In 0.500 0.000 0.750
7 Sb 0.000 0.000 0.358
8 Sb 0.000 0.000 0.642
9 Sb 0.500 0.500 0.142
10 Sb 0.500 0.500 0.858

Summary:
- N(E_F) (states/eV per cell) = 1.77
- energy above the most stable polymorph in this dataset (eV per atom) = 0.000
- energy relative to the elements, uncorrected (eV/atom) = -0.293
- size of the total moment (μB/atom) = 0.00